DFT (PBE) results for Co4GeAs2 after structural relaxation.

The structure in POSCAR format:
```
Co4GeAs2
1.0
4.284 0.000 0.000
0.000 4.284 0.000
2.142 2.142 6.065
Co Ge As
4 1 2
Cartesian
0.000 2.142 0.000 Co
2.142 2.142 3.746 Co
4.284 4.284 2.319 Co
2.142 0.000 0.000 Co
0.000 0.000 0.000 Ge
2.142 2.142 1.474 As
4.284 4.284 4.591 As
```

Symmetry: No. 139
Electronic total energy: -38.15 eV for the cell shown
Magnetic moment: 3.797 μB per formula unit
Theoretical density: 6.83 g/cm³
Formation energy from the elements: 0.598 eV/atom

---

DFT (PBE) results for CoGe3As after structural relaxation.

The structure in POSCAR format:
```
CoGe3As
1.0
-3.556 -1.859 2.146
2.667 -1.009 3.545
-0.973 4.028 1.879
As Ge Co
1 3 1
Cartesian
-0.931 0.580 3.785 As
-1.778 -0.930 1.073 Ge
-0.486 2.014 0.939 Ge
1.334 -0.505 1.773 Ge
0.000 0.000 0.000 Co
```

Energy relative to the lowest polymorph listed for this composition: 0.000 eV per atom
Symmetry: No. 221
Electronic total energy: -24.72 eV for the cell shown
Magnetic moment: 0.000 μB per formula unit
Theoretical density: 6.20 g/cm³
Formation energy from the elements: 0.177 eV/atom

---

DFT (PBE) results for CoGeAs2 after structural relaxation.

The structure in POSCAR format:
```
CoGeAs2
1.0
-0.748 3.408 -0.025
-1.599 1.415 -2.759
-7.677 0.118 2.304
Co Ge As
1 1 2
Cartesian
0.000 0.000 0.000 Co
-5.012 2.470 -0.240 Ge
-4.345 4.391 -1.847 As
-5.679 0.549 1.368 As
```

Symmetry: No. 166
Electronic total energy: -18.72 eV for the cell shown
Magnetic moment: 1.460 μB per formula unit
Theoretical density: 5.71 g/cm³
Formation energy from the elements: 0.575 eV/atom

---

DFT (PBE) results for CoGe3As after structural relaxation.

The structure in POSCAR format:
```
CoGe3As
1.0
-2.754 0.038 -4.117
-0.358 -4.937 0.194
-4.102 0.406 2.747
Ge Co As
3 1 1
Cartesian
-0.179 -2.468 0.097 Ge
-1.377 0.019 -2.058 Ge
-2.051 0.203 1.374 Ge
-3.607 -2.246 -0.588 Co
0.000 0.000 0.000 As
```

Energy relative to the lowest polymorph listed for this composition: 1.073 eV per atom
Symmetry: No. 221
Electronic total energy: -19.36 eV for the cell shown
Magnetic moment: 1.779 μB per formula unit
Theoretical density: 4.81 g/cm³
Formation energy from the elements: 1.250 eV/atom